Entry 1:
Computed, not measured: an optimized crystal structure of CaIn2W at the PBE level of DFT.

* calculated formation energy: 0.2845 eV/atom
* energy above the most stable polymorph in this dataset: 0.0306 eV/atom

Cell lengths 3.0145, 4.3823, 6.5389 Å; angles 90.00, 90.00, 90.00 degrees
Space group Pmmm (No. 47)
Symmetry-distinct sites (fractional):
Ca 0.0000 0.0000 0.0000 (multiplicity 1)
In 0.5000 0.5000 0.2779 (multiplicity 2)
W 0.0000 0.0000 0.5000 (multiplicity 1)

***

Entry 2:
Computed, not measured: an optimized crystal structure of CaInW2 at the PBE level of DFT.

* calculated formation energy: 0.6398 eV/atom

Cell lengths 3.4950, 5.0433, 9.5395 Å; angles 90.00, 90.00, 90.00 degrees
Space group Imm2 (No. 44)
Symmetry-distinct sites (fractional):
Ca 0.0000 0.0000 0.0000 (multiplicity 2)
In 0.0000 0.5000 0.7796 (multiplicity 2)
W 0.0000 0.0000 0.5468 (multiplicity 2)
W 0.0000 0.5000 0.2330 (multiplicity 2)

***

Entry 3:
Computed, not measured: an optimized crystal structure of Ca3InW at the PBE level of DFT.

* calculated formation energy: 1.1764 eV/atom
* energy above the most stable polymorph in this dataset: 0.2802 eV/atom

Cell lengths 5.8601, 5.8601, 5.8601 Å; angles 90.00, 90.00, 90.00 degrees
Space group Pm-3m (No. 221)
Symmetry-distinct sites (fractional):
Ca 0.0000 0.0000 0.5000 (multiplicity 3)
In 0.0000 0.0000 0.0000 (multiplicity 1)
W 0.5000 0.5000 0.5000 (multiplicity 1)

***

Entry 4:
Computed, not measured: an optimized crystal structure of CaIn2W at the PBE level of DFT.

* calculated formation energy: 0.5367 eV/atom
* energy above the most stable polymorph in this dataset: 0.2829 eV/atom

Cell lengths 3.2021, 3.2021, 30.8131 Å; angles 90.00, 90.00, 120.00 degrees
Space group R3m (No. 160, hexagonal axes)
Symmetry-distinct sites (fractional):
Ca 0.0000 0.0000 0.0000 (multiplicity 3)
In 0.0000 0.0000 0.2414 (multiplicity 3)
In 0.0000 0.0000 0.4888 (multiplicity 3)
W 0.0000 0.0000 0.7475 (multiplicity 3)

***

Entry 5:
Computed, not measured: an optimized crystal structure of CaIn2W at the PBE level of DFT.

* calculated formation energy: 0.4799 eV/atom
* energy above the most stable polymorph in this dataset: 0.2260 eV/atom

Cell lengths 4.2457, 4.2457, 9.7759 Å; angles 90.00, 90.00, 90.00 degrees
Space group I-4m2 (No. 119)
Symmetry-distinct sites (fractional):
Ca 0.0000 0.0000 0.0000 (multiplicity 2)
In 0.0000 0.0000 0.5000 (multiplicity 2)
In 0.0000 0.5000 0.7500 (multiplicity 2)
W 0.0000 0.5000 0.2500 (multiplicity 2)

***

Entry 6:
Computed, not measured: an optimized crystal structure of CaIn2W at the PBE level of DFT.

* calculated formation energy: 0.4329 eV/atom
* energy above the most stable polymorph in this dataset: 0.1790 eV/atom

Cell lengths 6.1936, 9.0629, 3.0385 Å; angles 90.00, 90.00, 90.00 degrees
Space group Cmmm (No. 65)
Symmetry-distinct sites (fractional):
Ca 0.0000 0.0000 0.0000 (multiplicity 2)
In 0.2500 0.2500 0.5000 (multiplicity 4)
W 0.0000 0.5000 0.0000 (multiplicity 2)

***

Entry 7:
Computed, not measured: an optimized crystal structure of CaInW at the PBE level of DFT.

* calculated formation energy: 0.6446 eV/atom
* energy above the most stable polymorph in this dataset: 0.1654 eV/atom

Cell lengths 3.0594, 4.1308, 10.6551 Å; angles 90.00, 90.00, 90.00 degrees
Space group Imm2 (No. 44)
Symmetry-distinct sites (fractional):
Ca 0.0000 0.0000 0.0000 (multiplicity 2)
In 0.0000 0.0000 0.6945 (multiplicity 2)
W 0.0000 0.0000 0.3179 (multiplicity 2)

***

Entry 8:
Computed, not measured: an optimized crystal structure of CaYIn2W at the PBE level of DFT.

* calculated formation energy: 0.6618 eV/atom

Cell lengths 5.3405, 5.3405, 5.1314 Å; angles 90.00, 90.00, 90.00 degrees
Space group P4/mmm (No. 123)
Symmetry-distinct sites (fractional):
Ca 0.0000 0.0000 0.0000 (multiplicity 1)
Y 0.5000 0.5000 0.0000 (multiplicity 1)
In 0.0000 0.5000 0.5000 (multiplicity 2)
W 0.0000 0.0000 0.5000 (multiplicity 1)

***

Number 1: total magnetization 0.0006 μB per atom. Number 2: total magnetization 0.0000 μB per atom. Number 3: total magnetization 0.9980 μB per atom. Number 4: total magnetization 0.0000 μB per atom. Number 5: total magnetization 0.0000 μB per atom. Number 6: total magnetization 0.0000 μB per atom. Number 7: total magnetization 0.0000 μB per atom. Number 8: total magnetization 0.0000 μB per atom.